Entry 1:
Entry from Alexandria via LeMat-Bulk: BeGaAu2 after structural relaxation (GGA-PBE).

a b c (Å): 4.3579 4.3579 3.2180
angles (deg): 90.00 90.00 90.00
Atoms (fractional coordinates):
1 Be 0.0000 0.0000 0.0000
2 Ga 0.5000 0.5000 0.0000
3 Au 0.0000 0.5000 0.5000
4 Au 0.5000 0.0000 0.5000

Results
- symmetry = P4/mmm (123)
- E_form (eV per atom) = 0.01
- density (g/cm³) = 12.84
- total magnetic moment (μB per formula unit) = 0.00
- calculated volume (Å³ per cell) = 61
- DOS(E_F) (states/eV/cell) = 0.85

=====

Entry 2:
Entry from Alexandria via LeMat-Bulk: BeGa2Au8 after structural relaxation (GGA-PBE).

a b c (Å): 8.4015 8.4015 5.4208
angles (deg): 92.58 92.58 29.62
Atoms (fractional coordinates):
1 Be 0.0000 0.0000 0.0000
2 Ga 0.3349 0.3349 0.8011
3 Ga 0.6651 0.6651 0.1989
4 Au 0.0812 0.0812 0.3931
5 Au 0.1466 0.1466 0.8999
6 Au 0.2704 0.2704 0.3302
7 Au 0.4675 0.4675 0.2396
8 Au 0.5325 0.5325 0.7604
9 Au 0.7296 0.7296 0.6698
10 Au 0.8534 0.8534 0.1001
11 Au 0.9188 0.9188 0.6069

Results
- symmetry = C2/m (12)
- E_form (eV per atom) = -0.08
- density (g/cm³) = 15.16
- total magnetic moment (μB per formula unit) = 0.00
- calculated volume (Å³ per cell) = 189
- DOS(E_F) (states/eV/cell) = 3.55

=====

Entry 3:
Entry from Alexandria via LeMat-Bulk: BeGaAu3 after structural relaxation (GGA-PBE).

a b c (Å): 4.8380 4.8380 4.8380
angles (deg): 90.00 90.00 90.00
Atoms (fractional coordinates):
1 Be 0.0000 0.0000 0.0000
2 Ga 0.5000 0.5000 0.5000
3 Au 0.0000 0.5000 0.5000
4 Au 0.5000 0.0000 0.5000
5 Au 0.5000 0.5000 0.0000

Results
- symmetry = Pm-3m (221)
- E_form (eV per atom) = 0.79
- density (g/cm³) = 9.82
- total magnetic moment (μB per formula unit) = 0.00
- calculated volume (Å³ per cell) = 113
- DOS(E_F) (states/eV/cell) = 2.01

=====

Entry 4:
Entry from Alexandria via LeMat-Bulk: BeGa3Au after structural relaxation (GGA-PBE).

a b c (Å): 4.9782 4.9782 4.9782
angles (deg): 90.00 90.00 90.00
Atoms (fractional coordinates):
1 Be 0.0000 0.0000 0.0000
2 Ga 0.0000 0.5000 0.5000
3 Ga 0.5000 0.0000 0.5000
4 Ga 0.5000 0.5000 0.0000
5 Au 0.5000 0.5000 0.5000

Results
- symmetry = Pm-3m (221)
- E_form (eV per atom) = 0.66
- density (g/cm³) = 5.59
- total magnetic moment (μB per formula unit) = 0.00
- calculated volume (Å³ per cell) = 123
- DOS(E_F) (states/eV/cell) = 3.11

=====

Entry 5:
Entry from Alexandria via LeMat-Bulk: BeGaAu3 after structural relaxation (GGA-PBE).

a b c (Å): 3.7407 5.6564 8.1259
angles (deg): 90.00 90.00 90.00
Atoms (fractional coordinates):
1 Be 0.2500 0.2500 0.0778
2 Be 0.7500 0.7500 0.9222
3 Ga 0.2500 0.7500 0.3751
4 Ga 0.7500 0.2500 0.6249
5 Au 0.2500 0.0029 0.8428
6 Au 0.2500 0.2500 0.3901
7 Au 0.2500 0.4971 0.8428
8 Au 0.7500 0.5029 0.1572
9 Au 0.7500 0.7500 0.6099
10 Au 0.7500 0.9971 0.1572

Results
- symmetry = Pmmn (59)
- E_form (eV per atom) = -0.10
- density (g/cm³) = 12.93
- total magnetic moment (μB per formula unit) = 0.00
- calculated volume (Å³ per cell) = 172
- DOS(E_F) (states/eV/cell) = 1.44

=====

Entry 6:
Entry from Alexandria via LeMat-Bulk: BeGa3Au after structural relaxation (GGA-PBE).

a b c (Å): 4.5025 4.5025 4.5025
angles (deg): 90.00 90.00 90.00
Atoms (fractional coordinates):
1 Be 0.0000 0.0000 0.0000
2 Ga 0.0000 0.0000 0.5000
3 Ga 0.0000 0.5000 0.0000
4 Ga 0.5000 0.0000 0.0000
5 Au 0.5000 0.5000 0.5000

Results
- symmetry = Pm-3m (221)
- E_form (eV per atom) = 0.21
- density (g/cm³) = 7.55
- total magnetic moment (μB per formula unit) = 0.00
- calculated volume (Å³ per cell) = 91
- DOS(E_F) (states/eV/cell) = 1.78

=====

Entry 7:
Entry from Alexandria via LeMat-Bulk: Be2Ga2Au after structural relaxation (GGA-PBE).

a b c (Å): 6.1609 6.1609 3.7244
angles (deg): 90.00 90.00 90.00
Atoms (fractional coordinates):
1 Be 0.1293 0.3707 0.0000
2 Be 0.3707 0.8707 0.0000
3 Be 0.6293 0.1293 0.0000
4 Be 0.8707 0.6293 0.0000
5 Ga 0.1606 0.6606 0.5000
6 Ga 0.3394 0.1606 0.5000
7 Ga 0.6606 0.8394 0.5000
8 Ga 0.8394 0.3394 0.5000
9 Au 0.0000 0.0000 0.0000
10 Au 0.5000 0.5000 0.0000

Results
- symmetry = P4/mbm (127)
- E_form (eV per atom) = 0.10
- density (g/cm³) = 8.33
- total magnetic moment (μB per formula unit) = 0.00
- calculated volume (Å³ per cell) = 141
- DOS(E_F) (states/eV/cell) = 3.11

=====

Entry 8:
Entry from Alexandria via LeMat-Bulk: BeGaH2Au after structural relaxation (GGA-PBE).

a b c (Å): 3.5632 3.5632 4.8887
angles (deg): 90.00 90.00 90.00
Atoms (fractional coordinates):
1 Be 0.0000 0.0000 0.0000
2 Ga 0.5000 0.5000 0.0000
3 H 0.0000 0.5000 0.5000
4 H 0.5000 0.0000 0.5000
5 Au 0.0000 0.0000 0.5000

Results
- symmetry = P4/mmm (123)
- density (g/cm³) = 7.43
- total magnetic moment (μB per formula unit) = 0.00
- calculated volume (Å³ per cell) = 62
- calculated total energy (eV/atom) = -2.979
- DOS(E_F) (states/eV/cell) = 1.13

=====

Entry 9:
Entry from Alexandria via LeMat-Bulk: HoBe2GaAu4 after structural relaxation (GGA-PBE).

a b c (Å): 9.9977 9.9977 9.9977
angles (deg): 23.64 23.64 23.64
Atoms (fractional coordinates):
1 Ho 0.0000 0.0000 0.0000
2 Be 0.2514 0.2514 0.2514
3 Be 0.7486 0.7486 0.7486
4 Ga 0.5000 0.5000 0.5000
5 Au 0.1210 0.1210 0.1210
6 Au 0.3962 0.3962 0.3962
7 Au 0.6038 0.6038 0.6038
8 Au 0.8790 0.8790 0.8790

Results
- symmetry = R-3m (166)
- E_form (eV per atom) = -0.29
- density (g/cm³) = 12.24
- total magnetic moment (μB per formula unit) = 0.00
- calculated volume (Å³ per cell) = 141
- DOS(E_F) (states/eV/cell) = 4.29

=====

Entry 10:
Entry from Alexandria via LeMat-Bulk: HoBeGa2Au5 after structural relaxation (GGA-PBE).

a b c (Å): 7.5531 7.5531 7.5531
angles (deg): 145.56 132.82 59.71
Atoms (fractional coordinates):
1 Ho 0.0000 0.0000 0.0000
2 Be 0.5000 0.5000 0.0000
3 Ga 0.3010 0.8010 0.5000
4 Ga 0.6990 0.1990 0.5000
5 Au 0.1020 0.3656 0.7364
6 Au 0.3708 0.6344 0.7364
7 Au 0.5000 0.0000 0.5000
8 Au 0.6292 0.3656 0.2636
9 Au 0.8980 0.6344 0.2636

Results
- symmetry = Immm (71)
- E_form (eV per atom) = -0.27
- density (g/cm³) = 12.17
- total magnetic moment (μB per formula unit) = 0.00
- calculated volume (Å³ per cell) = 177
- DOS(E_F) (states/eV/cell) = 3.54

=====

Entry 11:
Entry from Alexandria via LeMat-Bulk: KBeGa2Au after structural relaxation (GGA-PBE).

a b c (Å): 4.9405 4.9405 6.1863
angles (deg): 90.00 90.00 90.00
Atoms (fractional coordinates):
1 K 0.0000 0.0000 0.0000
2 Be 0.5000 0.5000 0.0000
3 Ga 0.0000 0.5000 0.5000
4 Ga 0.5000 0.0000 0.5000
5 Au 0.0000 0.0000 0.5000

Results
- symmetry = P4/mmm (123)
- E_form (eV per atom) = 0.57
- density (g/cm³) = 4.23
- total magnetic moment (μB per formula unit) = 0.00
- calculated volume (Å³ per cell) = 151
- DOS(E_F) (states/eV/cell) = 1.64

=====

Entry 12:
Entry from Alexandria via LeMat-Bulk: KBeGa2Au after structural relaxation (GGA-PBE).

a b c (Å): 5.1255 5.1255 4.6321
angles (deg): 90.00 90.00 90.00
Atoms (fractional coordinates):
1 K 0.0000 0.0000 0.0000
2 Be 0.5000 0.5000 0.0000
3 Ga 0.0000 0.5000 0.5000
4 Ga 0.5000 0.0000 0.5000
5 Au 0.5000 0.5000 0.5000

Results
- symmetry = P4/mmm (123)
- E_form (eV per atom) = 0.21
- density (g/cm³) = 5.25
- total magnetic moment (μB per formula unit) = 0.00
- calculated volume (Å³ per cell) = 122
- DOS(E_F) (states/eV/cell) = 2.89

=====

density of number 6 (BeGa3Au)? 7.55 g/cm³